Record 1
## Ti3Co2TeP6O24 (SCAN)

Data for a PBEsol-optimized structure of Ti3Co2TeP6O24.

Output
DOS(E_F), states/eV/atom: 0.004
Formation energy without anion corrections, eV per atom: -2.40
Calculated volume, Å³/f.u.: 447.5
Spin magnetization, μB per atom: 0.111

Cell and atoms, written as CIF:
```
data_Ti3Co2TeP6O24
_cell_length_a 8.7220
_cell_length_b 8.7220
_cell_length_c 20.3755
_cell_angle_alpha 90.00
_cell_angle_beta 90.00
_cell_angle_gamma 120.00
_symmetry_space_group_name_H-M 'R 3'
_symmetry_Int_Tables_number 146
_symmetry_space_group_name_Hall 'R 3'
loop_
_atom_site_label
_atom_site_type_symbol
_atom_site_fract_x
_atom_site_fract_y
_atom_site_fract_z
Ti1 Ti 0.0000 0.0000 0.0000
Ti2 Ti 0.0000 0.0000 0.2202
Ti3 Ti 0.0000 0.0000 0.5029
Co1 Co 0.0000 0.0000 0.3641
Co2 Co 0.0000 0.0000 0.8700
Te1 Te 0.0000 0.0000 0.7206
P1 P 0.0068 0.7144 0.1117
P2 P 0.0344 0.3644 0.2788
O1 O 0.0054 0.1745 0.2828
O2 O 0.0228 0.8264 0.1717
O3 O 0.0256 0.8295 0.7912
O4 O 0.1129 0.4442 0.3459
O5 O 0.1423 0.6687 0.7159
O6 O 0.1525 0.4762 0.2222
O7 O 0.1665 0.4821 0.6035
O8 O 0.1682 0.6854 0.1055
```


Record 2
## Sc2Tc (SCAN)

Data for a PBEsol-optimized structure of Sc2Tc.

Output
Energy relative to the lowest polymorph listed for this composition, meV/atom: 29.2
DOS(E_F), states/eV/atom: 0.604
Formation energy, eV/atom: -0.219
Calculated volume, Å³/f.u.: 55.0
Spin magnetization, μB per atom: 0.000

Cell and atoms, written as CIF:
```
data_Sc2Tc
_cell_length_a 5.8344
_cell_length_b 4.4601
_cell_length_c 8.4563
_cell_angle_alpha 90.00
_cell_angle_beta 90.00
_cell_angle_gamma 90.00
_symmetry_space_group_name_H-M 'P n m a'
_symmetry_Int_Tables_number 62
loop_
_symmetry_equiv_pos_as_xyz
'x,y,z'
'-x,-y,-z'
'-x+1/2,-y,z+1/2'
'x+1/2,y,-z+1/2'
'x+1/2,-y+1/2,-z+1/2'
'-x+1/2,y+1/2,z+1/2'
'-x,y+1/2,-z'
'x,-y+1/2,z'
loop_
_atom_site_label
_atom_site_type_symbol
_atom_site_fract_x
_atom_site_fract_y
_atom_site_fract_z
Sc1 Sc 0.0436 0.2500 0.2114
Sc2 Sc 0.1709 0.2500 0.5627
Tc1 Tc 0.1811 0.2500 0.8910
```


Record 3
## Y2AsBr (SCAN)

Data for a PBEsol-optimized structure of Y2AsBr.

Output
DOS(E_F), states/eV/atom: 0.495
Formation energy without anion corrections, eV per atom: -0.75
Calculated volume, Å³/f.u.: 116.9
Spin magnetization, μB per atom: 0.383

Cell and atoms, written as CIF:
```
data_Y2AsBr
_cell_length_a 3.7337
_cell_length_b 3.7337
_cell_length_c 29.0364
_cell_angle_alpha 90.00
_cell_angle_beta 90.00
_cell_angle_gamma 120.00
_symmetry_space_group_name_H-M 'R 3 m'
_symmetry_Int_Tables_number 160
_symmetry_space_group_name_Hall 'R 3 -2"'
loop_
_atom_site_label
_atom_site_type_symbol
_atom_site_fract_x
_atom_site_fract_y
_atom_site_fract_z
Y1 Y 0.0000 0.0000 0.0000
Y2 Y 0.0000 0.0000 0.2293
As1 As 0.0000 0.0000 0.5022
Br1 Br 0.0000 0.0000 0.7314
```


Record 4
## Ba5Nb3O3F20 (SCAN)

Data for a PBEsol-optimized structure of Ba5Nb3O3F20.

Output
Formation energy without anion corrections, eV per atom: -3.56
Calculated volume, Å³/f.u.: 478.7
Spin magnetization, μB per atom: 0.041

Cell and atoms, written as CIF:
```
data_Ba5Nb3O3F20
_cell_length_a 11.8378
_cell_length_b 11.8378
_cell_length_c 7.8890
_cell_angle_alpha 90.00
_cell_angle_beta 90.00
_cell_angle_gamma 120.00
_symmetry_space_group_name_H-M 'P 63/m'
_symmetry_Int_Tables_number 176
_symmetry_space_group_name_Hall '-P 6c'
loop_
_atom_site_label
_atom_site_type_symbol
_atom_site_fract_x
_atom_site_fract_y
_atom_site_fract_z
Ba1 Ba 0.0000 0.0000 0.0000
Ba2 Ba 0.0919 0.4493 0.2500
Ba3 Ba 0.3333 0.6667 0.7500
Nb1 Nb 0.0477 0.3296 0.7500
O1 O 0.1135 0.6941 0.2500
F1 F 0.0120 0.8639 0.2500
F2 F 0.0574 0.2778 0.5097
F3 F 0.1041 0.4945 0.5968
F4 F 0.1575 0.7488 0.7500
F5 F 0.3333 0.6667 0.1260
```


Record 5
## BeNiRu2 (SCAN)

Data for a PBEsol-optimized structure of BeNiRu2.

Output
DOS(E_F), states/eV/atom: 1.175
Formation energy, eV/atom: 0.046
Calculated volume, Å³/f.u.: 46.5
Spin magnetization, μB per atom: 0.000

Cell and atoms, written as CIF:
```
data_BeNiRu2
_cell_length_a 2.6120
_cell_length_b 2.6120
_cell_length_c 23.5993
_cell_angle_alpha 90.00
_cell_angle_beta 90.00
_cell_angle_gamma 120.00
_symmetry_space_group_name_H-M 'R 3 m'
_symmetry_Int_Tables_number 160
_symmetry_space_group_name_Hall 'R 3 -2"'
loop_
_atom_site_label
_atom_site_type_symbol
_atom_site_fract_x
_atom_site_fract_y
_atom_site_fract_z
Be1 Be 0.0000 0.0000 0.0000
Ni1 Ni 0.0000 0.0000 0.7393
Ru1 Ru 0.0000 0.0000 0.2517
Ru2 Ru 0.0000 0.0000 0.4949
```


Record 6
## HfZnPt2 (SCAN)

Data for a PBEsol-optimized structure of HfZnPt2.

Output
DOS(E_F), states/eV/atom: 0.422
Formation energy, eV/atom: -0.997
Calculated volume, Å³/f.u.: 63.8
Spin magnetization, μB per atom: 0.000

Cell and atoms, written as CIF:
```
data_HfZnPt2
_cell_length_a 6.3418
_cell_length_b 6.3418
_cell_length_c 6.3418
_cell_angle_alpha 90.00
_cell_angle_beta 90.00
_cell_angle_gamma 90.00
_symmetry_space_group_name_H-M 'F m -3 m'
_symmetry_Int_Tables_number 225
_symmetry_space_group_name_Hall '-F 4 2 3'
loop_
_atom_site_label
_atom_site_type_symbol
_atom_site_fract_x
_atom_site_fract_y
_atom_site_fract_z
Hf1 Hf 0.0000 0.0000 0.0000
Zn1 Zn 0.0000 0.0000 0.5000
Pt1 Pt 0.2500 0.2500 0.2500
```


Record 7
## CrCo3Ir (SCAN)

Data for a PBEsol-optimized structure of CrCo3Ir.

Output
DOS(E_F), states/eV/atom: 0.833
Formation energy, eV/atom: 1.454
Calculated volume, Å³/f.u.: 65.3
Spin magnetization, μB per atom: 0.782

Cell and atoms, written as CIF:
```
data_CrCo3Ir
_cell_length_a 4.0260
_cell_length_b 4.0260
_cell_length_c 4.0260
_cell_angle_alpha 90.00
_cell_angle_beta 90.00
_cell_angle_gamma 90.00
_symmetry_space_group_name_H-M 'P m -3 m'
_symmetry_Int_Tables_number 221
_symmetry_space_group_name_Hall '-P 4 2 3'
loop_
_atom_site_label
_atom_site_type_symbol
_atom_site_fract_x
_atom_site_fract_y
_atom_site_fract_z
Cr1 Cr 0.0000 0.0000 0.0000
Co1 Co 0.0000 0.0000 0.5000
Ir1 Ir 0.5000 0.5000 0.5000
```


Record 8
## Ba2PtRh (SCAN)

Data for a PBEsol-optimized structure of Ba2PtRh.

Output
DOS(E_F), states/eV/atom: 0.517
Formation energy, eV/atom: -0.518
Calculated volume, Å³/f.u.: 120.3
Spin magnetization, μB per atom: 0.000

Cell and atoms, written as CIF:
```
data_Ba2PtRh
_cell_length_a 4.7031
_cell_length_b 4.7697
_cell_length_c 10.7240
_cell_angle_alpha 90.00
_cell_angle_beta 90.00
_cell_angle_gamma 90.00
_symmetry_space_group_name_H-M 'A m m 2'
_symmetry_Int_Tables_number 38
loop_
_symmetry_equiv_pos_as_xyz
'x,y,z'
'-x,-y,z'
'-x,y,z'
'x,-y,z'
'x,y+1/2,z+1/2'
'-x,-y+1/2,z+1/2'
'-x,y+1/2,z+1/2'
'x,-y+1/2,z+1/2'
loop_
_atom_site_label
_atom_site_type_symbol
_atom_site_fract_x
_atom_site_fract_y
_atom_site_fract_z
Ba1 Ba 0.0000 0.0000 0.0000
Ba2 Ba 0.5000 0.0000 0.2919
Pt1 Pt 0.0000 0.0000 0.6920
Rh1 Rh 0.5000 0.0000 0.6107
```


Record 9
## LiMg2Zn (SCAN)

Data for a PBEsol-optimized structure of LiMg2Zn.

Output
DOS(E_F), states/eV/atom: 0.368
Formation energy, eV/atom: -0.056
Calculated volume, Å³/f.u.: 74.2
Spin magnetization, μB per atom: 0.002

Cell and atoms, written as CIF:
```
data_LiMg2Zn
_cell_length_a 9.4789
_cell_length_b 3.0066
_cell_length_c 5.2644
_cell_angle_alpha 90.00
_cell_angle_beta 98.70
_cell_angle_gamma 90.00
_symmetry_space_group_name_H-M 'C 1 2/m 1'
_symmetry_Int_Tables_number 12
loop_
_symmetry_equiv_pos_as_xyz
'x,y,z'
'-x,-y,-z'
'-x,y,-z'
'x,-y,z'
'x+1/2,y+1/2,z'
'-x+1/2,-y+1/2,-z'
'-x+1/2,y+1/2,-z'
'x+1/2,-y+1/2,z'
loop_
_atom_site_label
_atom_site_type_symbol
_atom_site_fract_x
_atom_site_fract_y
_atom_site_fract_z
Li1 Li 0.0000 0.0000 0.0000
Mg1 Mg 0.2406 0.0000 0.7420
Zn1 Zn 0.0000 0.5000 0.5000
```


Record 10
## Li2Cu (SCAN)

Data for a PBEsol-optimized structure of Li2Cu.

Output
DOS(E_F), states/eV/atom: 0.330
Formation energy, eV/atom: 0.013
Calculated volume, Å³/f.u.: 41.1
Spin magnetization, μB per atom: 0.000

Cell and atoms, written as CIF:
```
data_Li2Cu
_cell_length_a 5.3708
_cell_length_b 3.8063
_cell_length_c 8.0487
_cell_angle_alpha 90.00
_cell_angle_beta 90.00
_cell_angle_gamma 90.00
_symmetry_space_group_name_H-M 'P n m a'
_symmetry_Int_Tables_number 62
loop_
_symmetry_equiv_pos_as_xyz
'x,y,z'
'-x,-y,-z'
'-x+1/2,-y,z+1/2'
'x+1/2,y,-z+1/2'
'x+1/2,-y+1/2,-z+1/2'
'-x+1/2,y+1/2,z+1/2'
'-x,y+1/2,-z'
'x,-y+1/2,z'
loop_
_atom_site_label
_atom_site_type_symbol
_atom_site_fract_x
_atom_site_fract_y
_atom_site_fract_z
Li1 Li 0.1317 0.2500 0.0896
Li2 Li 0.1376 0.2500 0.7564
Cu1 Cu 0.1083 0.2500 0.4342
```


Record 11
## AlTcSbTe2 (SCAN)

Data for a PBEsol-optimized structure of AlTcSbTe2.

Output
DOS(E_F), states/eV/atom: 0.714
Formation energy without anion corrections, eV per atom: 1.04
Calculated volume, Å³/f.u.: 138.6
Spin magnetization, μB per atom: 0.761

Cell and atoms, written as CIF:
```
data_AlTcSbTe2
_cell_length_a 5.2062
_cell_length_b 5.2062
_cell_length_c 5.1151
_cell_angle_alpha 90.00
_cell_angle_beta 90.00
_cell_angle_gamma 90.00
_symmetry_space_group_name_H-M 'P 4/m m m'
_symmetry_Int_Tables_number 123
_symmetry_space_group_name_Hall '-P 4 2'
loop_
_atom_site_label
_atom_site_type_symbol
_atom_site_fract_x
_atom_site_fract_y
_atom_site_fract_z
Al1 Al 0.0000 0.0000 0.0000
Tc1 Tc 0.5000 0.5000 0.5000
Sb1 Sb 0.0000 0.0000 0.5000
Te1 Te 0.0000 0.5000 0.0000
```


Record 12
## CdAg2Sb (SCAN)

Data for a PBEsol-optimized structure of CdAg2Sb.

Output
Energy relative to the lowest polymorph listed for this composition, meV/atom: 4.8
DOS(E_F), states/eV/atom: 0.289
Formation energy without anion corrections, eV per atom: 0.06
Calculated volume, Å³/f.u.: 79.5
Spin magnetization, μB per atom: 0.000

Cell and atoms, written as CIF:
```
data_CdAg2Sb
_cell_length_a 3.2925
_cell_length_b 4.0652
_cell_length_c 5.9365
_cell_angle_alpha 90.00
_cell_angle_beta 90.00
_cell_angle_gamma 90.00
_symmetry_space_group_name_H-M 'P m m 2'
_symmetry_Int_Tables_number 25
loop_
_symmetry_equiv_pos_as_xyz
'x,y,z'
'-x,-y,z'
'-x,y,z'
'x,-y,z'
loop_
_atom_site_label
_atom_site_type_symbol
_atom_site_fract_x
_atom_site_fract_y
_atom_site_fract_z
Cd1 Cd 0.0000 0.0000 0.0000
Ag1 Ag 0.0000 0.0000 0.5309
Ag2 Ag 0.5000 0.5000 0.7749
Sb1 Sb 0.5000 0.5000 0.2919
```